VASP calculation (GGA-PBE) on a geometry-optimized Er2TmTl structure.

Results
The density of states at the Fermi level comes out at 24.5 states/eV/cell. The calculation puts the energy relative to the elements at -13 meV/atom. Its excess energy over the best structure of this formula in the dataset is 0.61 eV per formula unit. As for the total energy: -64.07 eV per cell.

```
Er2TmTl
1.0
7.6539 0.0000 0.0000
0.0000 7.6539 0.0000
0.0000 0.0000 7.6539
Er Tm Tl
8 4 4
Direct
0.2500 0.2500 0.2500
0.2500 0.2500 0.7500
0.2500 0.7500 0.2500
0.2500 0.7500 0.7500
0.7500 0.2500 0.2500
0.7500 0.2500 0.7500
0.7500 0.7500 0.2500
0.7500 0.7500 0.7500
0.0000 0.0000 0.0000
0.0000 0.5000 0.5000
0.5000 0.0000 0.5000
0.5000 0.5000 0.0000
0.0000 0.0000 0.5000
0.0000 0.5000 0.0000
0.5000 0.0000 0.0000
0.5000 0.5000 0.5000
```

=====

VASP calculation (GGA-PBE) on a geometry-optimized Er4TmTl4 structure.

Results
The density of states at the Fermi level comes out at 11.4 states/eV/cell. The calculation puts the energy relative to the elements at -143 meV/atom. As for the total energy: -66.96 eV per cell.

```
Er4TmTl4
1.0
9.3924 0.0000 0.0000
0.0000 9.3924 0.0000
0.0000 0.0000 5.8129
Er Tm Tl
8 2 8
Direct
0.0920 0.8269 0.1331
0.1731 0.5920 0.6331
0.3269 0.9080 0.6331
0.4080 0.6731 0.1331
0.5920 0.3269 0.8669
0.6731 0.0920 0.3669
0.8269 0.4080 0.3669
0.9080 0.1731 0.8669
0.2500 0.2500 0.7500
0.7500 0.7500 0.2500
0.0418 0.1477 0.3609
0.1477 0.4582 0.1391
0.3523 0.0418 0.1391
0.4582 0.3523 0.3609
0.5418 0.6477 0.6391
0.6477 0.9582 0.8609
0.8523 0.5418 0.8609
0.9582 0.8523 0.6391
```

=====

VASP calculation (GGA-PBE) on a geometry-optimized ErTm5Tl5 structure.

Results
The density of states at the Fermi level comes out at 9.2 states/eV/cell. The calculation puts the energy relative to the elements at -65 meV/atom. As for the total energy: -39.47 eV per cell.

```
ErTm5Tl5
1.0
8.0125 -2.8955 0.0000
8.0125 2.8955 0.0000
-1.1652 0.0000 6.9481
Er Tm Tl
1 5 5
Direct
0.0000 0.0000 0.0000
0.0000 0.0000 0.5000
0.3253 0.3253 0.0829
0.3682 0.3682 0.5930
0.6318 0.6318 0.4070
0.6747 0.6747 0.9171
0.1708 0.1708 0.2761
0.1763 0.1763 0.7294
0.5000 0.5000 0.0000
0.8237 0.8237 0.2706
0.8292 0.8292 0.7239
```

=====

VASP calculation (GGA-PBE) on a geometry-optimized Er12Tm3Tl structure.

Results
The density of states at the Fermi level comes out at 19.1 states/eV/cell. The calculation puts the energy relative to the elements at -23 meV/atom. As for the total energy: -70.91 eV per cell.

```
Er12Tm3Tl
1.0
4.9007 0.0000 0.0000
0.0000 4.9007 0.0000
0.0000 0.0000 19.8731
Er Tm Tl
12 3 1
Direct
0.0000 0.0000 0.0000
0.0000 0.0000 0.2453
0.0000 0.0000 0.5000
0.0000 0.0000 0.7547
0.0000 0.5000 0.1227
0.0000 0.5000 0.3738
0.0000 0.5000 0.6262
0.0000 0.5000 0.8773
0.5000 0.0000 0.1227
0.5000 0.0000 0.3738
0.5000 0.0000 0.6262
0.5000 0.0000 0.8773
0.5000 0.5000 0.2489
0.5000 0.5000 0.5000
0.5000 0.5000 0.7511
0.5000 0.5000 0.0000
```

=====

VASP calculation (GGA-PBE) on a geometry-optimized Er3TmTl3 structure.

Results
The density of states at the Fermi level comes out at 15.3 states/eV/cell. The calculation puts the energy relative to the elements at -95 meV/atom. As for the total energy: -51.84 eV per cell.

```
Er3TmTl3
1.0
9.0529 0.0000 0.0000
-4.5264 7.8400 0.0000
0.0000 0.0000 5.6267
Er Tm Tl
6 2 6
Direct
0.0977 0.4570 0.2500
0.3594 0.9023 0.2500
0.4570 0.3594 0.7500
0.5430 0.6406 0.2500
0.6406 0.0977 0.7500
0.9023 0.5430 0.7500
0.3333 0.6667 0.7500
0.6667 0.3333 0.2500
0.0500 0.2459 0.7500
0.1959 0.9500 0.7500
0.2459 0.1959 0.2500
0.7541 0.8041 0.7500
0.8041 0.0500 0.2500
0.9500 0.7541 0.2500
```

=====

VASP calculation (GGA-PBE) on a geometry-optimized Er3TmTl4 structure.

Results
The density of states at the Fermi level comes out at 5.4 states/eV/cell. The calculation puts the energy relative to the elements at -307 meV/atom. Its excess energy over the best structure of this formula in the dataset is 0.00 eV per formula unit. As for the total energy: -30.08 eV per cell.

```
Er3TmTl4
1.0
3.7564 0.0000 0.0000
0.0000 3.7564 0.0000
0.0000 0.0000 15.0484
Er Tm Tl
3 1 4
Direct
0.0000 0.0000 0.0000
0.0000 0.0000 0.2509
0.0000 0.0000 0.7491
0.0000 0.0000 0.5000
0.5000 0.5000 0.1255
0.5000 0.5000 0.3762
0.5000 0.5000 0.6238
0.5000 0.5000 0.8745
```

=====

VASP calculation (GGA-PBE) on a geometry-optimized Er3Tm3Tl2 structure.

Results
The density of states at the Fermi level comes out at 19.1 states/eV/cell. The calculation puts the energy relative to the elements at -85 meV/atom. Its excess energy over the best structure of this formula in the dataset is 0.21 eV per formula unit. As for the total energy: -65.03 eV per cell.

```
Er3Tm3Tl2
1.0
2.5452 -5.8933 0.0000
2.5452 5.8933 0.0000
0.0000 0.0000 15.7398
Er Tm Tl
6 6 4
Direct
0.0411 0.9589 0.7500
0.1384 0.8616 0.0328
0.1384 0.8616 0.4672
0.8616 0.1384 0.5328
0.8616 0.1384 0.9672
0.9589 0.0411 0.2500
0.2422 0.7578 0.2500
0.4591 0.5409 0.1032
0.4591 0.5409 0.3968
0.5409 0.4591 0.6032
0.5409 0.4591 0.8968
0.7578 0.2422 0.7500
0.2733 0.7267 0.6377
0.2733 0.7267 0.8623
0.7267 0.2733 0.1377
0.7267 0.2733 0.3623
```

=====

VASP calculation (GGA-PBE) on a geometry-optimized Er4TmTl3 structure.

Results
The density of states at the Fermi level comes out at 16.9 states/eV/cell. The calculation puts the energy relative to the elements at -114 meV/atom. As for the total energy: -61.47 eV per cell.

```
Er4TmTl3
1.0
3.5617 0.0000 0.0000
0.0000 8.7977 0.0000
0.0000 0.0000 14.7801
Er Tm Tl
8 2 6
Direct
0.0000 0.1990 0.1378
0.0000 0.1990 0.8622
0.0000 0.8010 0.1378
0.0000 0.8010 0.8622
0.5000 0.3010 0.3622
0.5000 0.3010 0.6378
0.5000 0.6990 0.3622
0.5000 0.6990 0.6378
0.0000 0.5000 0.0000
0.5000 0.0000 0.5000
0.0000 0.0000 0.3150
0.0000 0.0000 0.6850
0.0000 0.5000 0.5000
0.5000 0.0000 0.0000
0.5000 0.5000 0.1850
0.5000 0.5000 0.8150
```

=====

VASP calculation (GGA-PBE) on a geometry-optimized Er3Tm12Tl structure.

Results
The density of states at the Fermi level comes out at 19.0 states/eV/cell. The calculation puts the energy relative to the elements at -21 meV/atom. As for the total energy: -70.04 eV per cell.

```
Er3Tm12Tl
1.0
4.8862 0.0000 0.0000
0.0000 4.8862 0.0000
0.0000 0.0000 19.7988
Er Tm Tl
3 12 1
Direct
0.0000 0.0000 0.0000
0.0000 0.0000 0.2510
0.0000 0.0000 0.7490
0.0000 0.5000 0.1262
0.0000 0.5000 0.3773
0.0000 0.5000 0.6227
0.0000 0.5000 0.8738
0.5000 0.0000 0.1262
0.5000 0.0000 0.3773
0.5000 0.0000 0.6227
0.5000 0.0000 0.8738
0.5000 0.5000 0.0000
0.5000 0.5000 0.2551
0.5000 0.5000 0.5000
0.5000 0.5000 0.7449
0.0000 0.0000 0.5000
```

=====

VASP calculation (GGA-PBE) on a geometry-optimized ErTm5Tl2 structure.

Results
The density of states at the Fermi level comes out at 19.9 states/eV/cell. The calculation puts the energy relative to the elements at -101 meV/atom. As for the total energy: -64.92 eV per cell.

```
ErTm5Tl2
1.0
3.5542 0.0000 0.0000
0.0000 10.3153 0.0000
0.0000 0.0000 12.6195
Er Tm Tl
2 10 4
Direct
0.0000 0.0000 0.0000
0.5000 0.5000 0.5000
0.0000 0.2304 0.3679
0.0000 0.2304 0.6321
0.0000 0.5000 0.0000
0.0000 0.7696 0.3679
0.0000 0.7696 0.6321
0.5000 0.0000 0.5000
0.5000 0.2696 0.1321
0.5000 0.2696 0.8679
0.5000 0.7304 0.1321
0.5000 0.7304 0.8679
0.0000 0.5000 0.2586
0.0000 0.5000 0.7414
0.5000 0.0000 0.2414
0.5000 0.0000 0.7586
```

=====

VASP calculation (GGA-PBE) on a geometry-optimized Er2TmTl9 structure.

Results
The density of states at the Fermi level comes out at 2.6 states/eV/cell. The calculation puts the energy relative to the elements at -194 meV/atom. As for the total energy: -37.22 eV per cell.

```
Er2TmTl9
1.0
4.7519 0.0000 0.0000
0.0000 4.7519 0.0000
0.0000 0.0000 14.2496
Er Tm Tl
2 1 9
Direct
0.0000 0.0000 0.1666
0.0000 0.0000 0.8334
0.0000 0.0000 0.5000
0.0000 0.5000 0.0000
0.0000 0.5000 0.3337
0.0000 0.5000 0.6663
0.5000 0.0000 0.0000
0.5000 0.0000 0.3337
0.5000 0.0000 0.6663
0.5000 0.5000 0.1669
0.5000 0.5000 0.5000
0.5000 0.5000 0.8331
```

=====

VASP calculation (GGA-PBE) on a geometry-optimized Er5Tm2Tl structure.

Results
The density of states at the Fermi level comes out at 10.2 states/eV/cell. The calculation puts the energy relative to the elements at -37 meV/atom. Its excess energy over the best structure of this formula in the dataset is 0.10 eV per formula unit. As for the total energy: -34.42 eV per cell.

```
Er5Tm2Tl
1.0
0.0000 4.9157 4.9151
4.8953 0.0000 4.9151
4.8953 4.9157 0.0000
Er Tm Tl
5 2 1
Direct
0.0000 0.0000 0.0000
0.0000 0.0000 0.5000
0.5000 0.5000 0.0000
0.5007 0.9984 0.4993
0.9984 0.5007 0.0016
0.0013 0.4992 0.5008
0.4992 0.0013 0.9987
0.4998 0.4998 0.5002
```

=====

VASP calculation (GGA-PBE) on a geometry-optimized ErTm2Tl structure.

Results
The density of states at the Fermi level comes out at 13.3 states/eV/cell. The calculation puts the energy relative to the elements at -111 meV/atom. Its excess energy over the best structure of this formula in the dataset is 0.20 eV per formula unit. As for the total energy: -48.95 eV per cell.

```
ErTm2Tl
1.0
3.5418 0.0000 0.0000
-1.7709 3.0673 0.0000
0.0000 0.0000 32.4510
Er Tm Tl
3 6 3
Direct
0.0000 0.0000 0.0000
0.3333 0.6667 0.6667
0.6667 0.3333 0.3333
0.0000 0.0000 0.2466
0.0000 0.0000 0.4198
0.3333 0.6667 0.0864
0.3333 0.6667 0.9133
0.6667 0.3333 0.5799
0.6667 0.3333 0.7531
0.0000 0.0000 0.8333
0.3333 0.6667 0.5000
0.6667 0.3333 0.1666
```

=====

VASP calculation (GGA-PBE) on a geometry-optimized Er7TmTl2 structure.

Results
The density of states at the Fermi level comes out at 16.8 states/eV/cell. The calculation puts the energy relative to the elements at 372 meV/atom. As for the total energy: -37.43 eV per cell.

```
Er7TmTl2
1.0
4.5494 -7.7622 0.0000
4.5494 7.7622 0.0000
0.0000 0.0000 5.2236
Er Tm Tl
7 1 2
Direct
0.0000 0.0000 0.0000
0.1992 0.4374 0.0000
0.2767 0.7233 0.5000
0.4374 0.1992 0.0000
0.5626 0.8008 0.0000
0.7233 0.2767 0.5000
0.8008 0.5626 0.0000
0.5000 0.5000 0.5000
0.1929 0.8071 0.0000
0.8071 0.1929 0.0000
```

=====

VASP calculation (GGA-PBE) on a geometry-optimized Er2TmTl5 structure.

Results
The density of states at the Fermi level comes out at 13.9 states/eV/cell. The calculation puts the energy relative to the elements at -224 meV/atom. As for the total energy: -54.43 eV per cell.

```
Er2TmTl5
1.0
7.9211 0.0000 0.0000
0.0000 10.4482 0.0000
-3.9501 0.0000 5.2244
Er Tm Tl
4 2 10
Direct
0.0000 0.2481 0.0000
0.0000 0.7519 0.0000
0.5000 0.2519 0.0000
0.5000 0.7481 0.0000
0.1875 0.0000 0.5026
0.6875 0.5000 0.5026
0.2166 0.5000 0.9572
0.2680 0.0000 0.0498
0.2765 0.5000 0.5051
0.4907 0.2269 0.5002
0.4907 0.7731 0.5002
0.7166 0.0000 0.9572
0.7680 0.5000 0.0498
0.7765 0.0000 0.5051
0.9907 0.2731 0.5002
0.9907 0.7269 0.5002
```

=====

VASP calculation (GGA-PBE) on a geometry-optimized ErTm5Tl6 structure.

Results
The density of states at the Fermi level comes out at 9.9 states/eV/cell. The calculation puts the energy relative to the elements at -293 meV/atom. Its excess energy over the best structure of this formula in the dataset is 0.00 eV per formula unit. As for the total energy: -44.63 eV per cell.

```
ErTm5Tl6
1.0
4.5867 -7.9992 0.0000
4.5867 7.9992 0.0000
-3.0812 0.0000 4.3426
Er Tm Tl
1 5 6
Direct
0.0000 0.0000 0.0000
0.1664 0.8336 0.5000
0.3333 0.6667 0.0000
0.5000 0.5000 0.5000
0.6667 0.3333 0.0000
0.8336 0.1664 0.5000
0.0834 0.4175 0.2504
0.2509 0.2509 0.7511
0.4175 0.0834 0.2504
0.5825 0.9166 0.7496
0.7491 0.7491 0.2489
0.9166 0.5825 0.7496
```

=====

VASP calculation (GGA-PBE) on a geometry-optimized Er4Tm5Tl structure.

Results
The density of states at the Fermi level comes out at 13.5 states/eV/cell. The calculation puts the energy relative to the elements at 153 meV/atom. Its excess energy over the best structure of this formula in the dataset is 2.01 eV per formula unit. As for the total energy: -41.45 eV per cell.

```
Er4Tm5Tl
1.0
-5.2429 5.2429 2.8559
5.2429 -5.2429 2.8559
5.2429 5.2429 -2.8559
Er Tm Tl
4 5 1
Direct
0.0000 0.3185 0.3185
0.0000 0.6815 0.6815
0.3185 0.0000 0.3185
0.6815 0.0000 0.6815
0.3190 0.3190 0.6289
0.3190 0.6901 0.0000
0.6901 0.3190 0.0000
0.6901 0.6901 0.3711
0.7949 0.7949 0.0000
0.2766 0.2766 0.0000
```

=====

VASP calculation (GGA-PBE) on a geometry-optimized Er2TmTl structure.

Results
The density of states at the Fermi level comes out at 6.6 states/eV/cell. The calculation puts the energy relative to the elements at -165 meV/atom. Its excess energy over the best structure of this formula in the dataset is 0.00 eV per formula unit. As for the total energy: -33.24 eV per cell.

```
Er2TmTl
1.0
3.8030 0.0000 0.0000
0.0000 5.3216 0.0000
0.0000 0.0000 11.3645
Er Tm Tl
4 2 2
Direct
0.0000 0.0000 0.2256
0.0000 0.0000 0.7744
0.5000 0.5000 0.2744
0.5000 0.5000 0.7256
0.0000 0.5000 0.0000
0.5000 0.0000 0.5000
0.0000 0.5000 0.5000
0.5000 0.0000 0.0000
```

=====

VASP calculation (GGA-PBE) on a geometry-optimized Er2TmTl structure.

Results
The density of states at the Fermi level comes out at 18.7 states/eV/cell. The calculation puts the energy relative to the elements at -3 meV/atom. Its excess energy over the best structure of this formula in the dataset is 0.65 eV per formula unit. As for the total energy: -47.93 eV per cell.

```
Er2TmTl
1.0
5.4136 0.0000 0.0000
-2.7068 4.6883 0.0000
0.0000 0.0000 13.2520
Er Tm Tl
6 3 3
Direct
0.0000 0.0000 0.0000
0.0000 0.0000 0.2496
0.3333 0.6667 0.6667
0.3333 0.6667 0.9163
0.6667 0.3333 0.3333
0.6667 0.3333 0.5829
0.0000 0.0000 0.4991
0.3333 0.6667 0.1658
0.6667 0.3333 0.8325
0.0000 0.0000 0.7495
0.3333 0.6667 0.4161
0.6667 0.3333 0.0828
```

=====

VASP calculation (GGA-PBE) on a geometry-optimized Er8Tm6Tl structure.

Results
The density of states at the Fermi level comes out at 18.8 states/eV/cell. The calculation puts the energy relative to the elements at 216 meV/atom. As for the total energy: -62.46 eV per cell.

```
Er8Tm6Tl
1.0
9.0632 0.0000 0.0000
-4.5316 7.8490 0.0000
0.0000 0.0000 6.6523
Er Tm Tl
8 6 1
Direct
0.0181 0.3339 0.3911
0.3158 0.9819 0.3911
0.3333 0.6667 0.6936
0.3339 0.3158 0.6089
0.6661 0.6842 0.3911
0.6667 0.3333 0.3064
0.6842 0.0181 0.6089
0.9819 0.6661 0.6089
0.0800 0.6817 0.1016
0.3183 0.3982 0.1016
0.3982 0.0800 0.8984
0.6018 0.9200 0.1016
0.6817 0.6018 0.8984
0.9200 0.3183 0.8984
0.0000 0.0000 0.0000
```